Compound: NbAlGa
Source: Alexandria
Functional: PBE
Structure: optimized geometry

- Total energy: -5.6321 eV per atom
- DOS(E_F): 2.56 states/eV/f.u.
- Total magnetization: 0.0 Bohr magnetons per cell
- Formation energy from the elements: -0.1 eV/f.u.

a = 4.9734 Å, b = 2.9033 Å, c = 7.3896 Å
α = 78.67°, β = 90.00°, γ = 90.00°
Last column: nearest neighbours and their distance in Å.
Fractional positions:
Al  0.7500  0.6467  0.7066  5 Nb 2.69-2.90, 4 Ga 2.86, 2 Al 2.90
Al  0.2500  0.3533  0.2934  5 Nb 2.69-2.90, 4 Ga 2.86, 2 Al 2.90
Ga  0.5000  0.0000  0.0000  2 Ga 2.49, 2 Nb 2.73
Ga  0.0000  0.0000  0.0000  2 Ga 2.49, 2 Nb 2.73
Nb  0.7500  0.8320  0.3360  5 Al 2.69-2.90, 2 Ga 2.73, 2 Nb 2.90
Nb  0.2500  0.1680  0.6640  5 Al 2.69-2.90, 2 Ga 2.73, 2 Nb 2.90